No. 1
# Rh2WCl

A geometry-optimized Rh2WCl structure (GGA-PBE, Alexandria via LeMat-Bulk).

Calculated values
- V: 18.940 Å³/atom
- ΔE to the lowest computed polymorph: 0.353 eV per atom
- Energy relative to the elements, uncorrected: 0.346 eV/atom
- Calculated total energy: -7.029 eV per atom
- SG: Imm2, No. 44

abc: 2.811 4.187 12.873
angles: 90.00 90.00 90.00
Element x y z (fractional)
Rh1 0.000 0.000 0.000
Rh2 0.000 0.500 0.116
Rh3 0.500 0.000 0.616
Rh4 0.500 0.500 0.500
W1 0.000 0.500 0.680
W2 0.500 0.000 0.180
Cl1 0.000 0.000 0.337
Cl2 0.500 0.500 0.837

No. 2
# Rh2WCl

A geometry-optimized Rh2WCl structure (GGA-PBE, Alexandria via LeMat-Bulk).

Calculated values
- V: 15.615 Å³/atom
- ΔE to the lowest computed polymorph: 0.055 eV per atom
- Energy relative to the elements, uncorrected: 0.048 eV/atom
- Calculated total energy: -7.327 eV per atom
- SG: P4/mmm, No. 123

abc: 2.866 2.866 7.602
angles: 90.00 90.00 90.00
Element x y z (fractional)
Rh1 0.000 0.000 0.235
Rh2 0.000 0.000 0.765
W1 0.500 0.500 0.000
Cl1 0.500 0.500 0.500

No. 3
# Rh2WCl

A geometry-optimized Rh2WCl structure (GGA-PBE, Alexandria via LeMat-Bulk).

Calculated values
- V: 19.249 Å³/atom
- ΔE to the lowest computed polymorph: 0.190 eV per atom
- Energy relative to the elements, uncorrected: 0.183 eV/atom
- Calculated total energy: -7.192 eV per atom
- SG: Pm, No. 6

abc: 3.743 2.840 7.257
angles: 90.00 93.37 90.00
Element x y z (fractional)
Rh1 0.000 0.000 0.000
Rh2 0.476 0.500 0.806
W1 0.958 0.000 0.646
Cl1 0.925 0.500 0.372